Entry i
Entry from Alexandria via LeMat-Bulk: crystalline MgAl2As at its relaxed geometry (PBE-GGA).

Computed properties:
- space group = F-43m, No. 216

Cell and atoms, written as POSCAR:
```
MgAl2As
1.0
0.000 3.356 3.356
3.356 0.000 3.356
3.356 3.356 0.000
Mg Al As
1 2 1
direct
0.000 0.000 0.000
0.250 0.250 0.250
0.500 0.500 0.500
0.750 0.750 0.750
```

---

Entry ii
Entry from Alexandria via LeMat-Bulk: crystalline MgAl2As at its relaxed geometry (PBE-GGA).

Computed properties:
- space group = P4/mmm, No. 123

Cell and atoms, written as POSCAR:
```
MgAl2As
1.0
3.392 0.000 0.000
0.000 3.392 0.000
0.000 0.000 6.575
Mg Al As
1 2 1
direct
0.000 0.000 0.000
0.500 0.500 0.284
0.500 0.500 0.716
0.000 0.000 0.500
```

---

Stability verdict: entry ii, ahead by 26 meV/atom

---

Entry i
Entry from Alexandria via LeMat-Bulk: crystalline BaMg2Mo at its relaxed geometry (PBE-GGA).

Computed properties:
- space group = Fm-3m, No. 225

Cell and atoms, written as POSCAR:
```
BaMg2Mo
1.0
0.000 3.765 3.765
3.765 0.000 3.765
3.765 3.765 0.000
Ba Mg Mo
1 2 1
direct
0.000 0.000 0.000
0.250 0.250 0.250
0.750 0.750 0.750
0.500 0.500 0.500
```

---

Entry ii
Entry from Alexandria via LeMat-Bulk: crystalline BaMg2Mo at its relaxed geometry (PBE-GGA).

Computed properties:
- space group = Pm, No. 6

Cell and atoms, written as POSCAR:
```
BaMg2Mo
1.0
3.088 0.000 0.000
0.000 4.843 0.000
-0.645 0.000 6.992
Ba Mg Mo
1 2 1
direct
0.000 0.000 0.000
0.592 0.500 0.322
0.598 0.000 0.556
0.166 0.500 0.662
```

---

Stability verdict: entry ii, ahead by 95 meV/atom

---

Entry i
Entry from Alexandria via LeMat-Bulk: crystalline BaCaOs at its relaxed geometry (PBE-GGA).

Computed properties:
- space group = P3m1, No. 156

Cell and atoms, written as POSCAR:
```
BaCaOs
1.0
5.056 0.000 0.000
-2.528 4.379 0.000
0.000 0.000 3.519
Ba Ca Os
1 1 1
direct
0.000 0.000 0.000
0.667 0.333 0.483
0.333 0.667 0.911
```

---

Entry ii
Entry from Alexandria via LeMat-Bulk: crystalline BaCaOs at its relaxed geometry (PBE-GGA).

Computed properties:
- space group = Fmm2, No. 42

Cell and atoms, written as POSCAR:
```
BaCaOs
1.0
0.000 2.555 7.375
2.543 0.000 7.375
2.543 2.555 0.000
Ba Ca Os
1 1 1
direct
0.000 0.000 0.000
0.238 0.238 0.762
0.632 0.632 0.368
```

---

Stability verdict: entry ii, ahead by 160 meV/atom